[1]
The following is a DFT calculation (GGA-PBE) of a geometry-optimized TlPb2Cl structure. Values from VASP.

```
&SYSTEM
  ibrav = 0, nat = 4, ntyp = 3
/
ATOMIC_SPECIES
Cl 35.45 Cl.upf
Pb 207.20 Pb.upf
Tl 204.38 Tl.upf
CELL_PARAMETERS angstrom
-0.595 -5.843 1.457
4.261 -0.786 -1.411
1.552 0.887 4.191
ATOMIC_POSITIONS angstrom
Cl 0.479 -2.478 2.824
Pb 0.000 0.000 0.000
Pb 2.906 0.051 1.390
Tl 1.833 -3.315 0.023
```

## Properties
Energy relative to the lowest polymorph listed for this composition   151.0 meV/atom
Crystal system   tetragonal
Volume   31.41 Å³ per atom

[2]
The following is a DFT calculation (GGA-PBE) of a geometry-optimized TlPbCl4 structure. Values from VASP.

```
&SYSTEM
  ibrav = 0, nat = 12, ntyp = 3
/
ATOMIC_SPECIES
Tl 204.38 Tl.upf
Pb 207.20 Pb.upf
Cl 35.45 Cl.upf
CELL_PARAMETERS angstrom
7.176 0.000 0.000
0.000 7.653 0.000
0.000 0.000 7.730
ATOMIC_POSITIONS angstrom
Tl 3.607 3.054 0.000
Tl 0.019 4.599 3.865
Pb 0.557 7.543 0.000
Pb 4.145 0.110 3.865
Cl 2.014 5.222 0.000
Cl 6.116 2.107 0.000
Cl 2.363 1.304 5.837
Cl 5.951 6.349 5.758
Cl 2.528 5.546 3.865
Cl 5.602 2.431 3.865
Cl 5.951 6.349 1.972
Cl 2.363 1.304 1.893
```

## Properties
Energy relative to the lowest polymorph listed for this composition   0.0 meV/atom
Crystal system   orthorhombic
Volume   35.38 Å³ per atom

[3]
The following is a DFT calculation (GGA-PBE) of a geometry-optimized TlPb2Cl structure. Values from VASP.

```
&SYSTEM
  ibrav = 0, nat = 4, ntyp = 3
/
ATOMIC_SPECIES
Cl 35.45 Cl.upf
Pb 207.20 Pb.upf
Tl 204.38 Tl.upf
CELL_PARAMETERS angstrom
3.439 0.000 0.000
0.000 4.997 0.000
0.000 0.000 6.808
ATOMIC_POSITIONS angstrom
Cl 1.719 2.499 5.106
Pb 0.000 0.000 6.737
Pb 0.000 0.000 3.476
Tl 1.719 2.499 1.702
```

## Properties
Energy relative to the lowest polymorph listed for this composition   140.3 meV/atom
Crystal system   orthorhombic
Volume   29.25 Å³ per atom

[4]
The following is a DFT calculation (GGA-PBE) of a geometry-optimized TlPb3Cl structure. Values from VASP.

```
&SYSTEM
  ibrav = 0, nat = 5, ntyp = 3
/
ATOMIC_SPECIES
Pb 207.20 Pb.upf
Tl 204.38 Tl.upf
Cl 35.45 Cl.upf
CELL_PARAMETERS angstrom
-4.608 0.953 -3.645
-3.700 -2.233 4.093
-0.713 5.435 2.321
ATOMIC_POSITIONS angstrom
Pb -1.850 -1.116 2.047
Pb -0.356 2.717 1.160
Pb -2.304 0.476 -1.823
Tl 0.000 0.000 0.000
Cl -4.510 2.077 1.384
```

## Properties
Energy relative to the lowest polymorph listed for this composition   204.6 meV/atom
Crystal system   cubic
Volume   42.18 Å³ per atom

[5]
The following is a DFT calculation (GGA-PBE) of a geometry-optimized Tl4PbCl6 structure. Values from VASP.

```
&SYSTEM
  ibrav = 0, nat = 22, ntyp = 3
/
ATOMIC_SPECIES
Tl 204.38 Tl.upf
Pb 207.20 Pb.upf
Cl 35.45 Cl.upf
CELL_PARAMETERS angstrom
9.014 -0.058 -0.017
0.017 9.015 -0.017
0.059 0.058 9.014
ATOMIC_POSITIONS angstrom
Tl 3.514 1.002 2.245
Tl 8.031 2.225 3.478
Tl 2.271 5.509 0.995
Tl 2.302 2.283 6.752
Tl 6.788 6.732 2.228
Tl 6.819 3.505 7.985
Tl 1.059 6.790 5.502
Tl 5.576 8.013 6.735
Pb 4.545 4.507 4.490
Pb 0.000 0.000 0.000
Cl 6.247 0.472 0.636
Cl 0.657 2.772 0.502
Cl 5.175 3.977 1.717
Cl 8.548 0.634 6.224
Cl 5.052 1.735 5.143
Cl 1.768 3.873 3.988
Cl 7.322 5.142 4.992
Cl 4.038 7.279 3.837
Cl 0.542 8.380 2.756
Cl 3.915 5.038 7.263
Cl 8.433 6.243 8.478
Cl 2.843 8.542 8.344
```

## Properties
Crystal system   trigonal
Volume   33.30 Å³ per atom

[6]
The following is a DFT calculation (GGA-PBE) of a geometry-optimized TlPbCl5 structure. Values from VASP.

```
&SYSTEM
  ibrav = 0, nat = 14, ntyp = 3
/
ATOMIC_SPECIES
Tl 204.38 Tl.upf
Pb 207.20 Pb.upf
Cl 35.45 Cl.upf
CELL_PARAMETERS angstrom
-1.954 -7.149 -1.055
6.418 -1.941 -3.327
1.622 1.947 10.437
ATOMIC_POSITIONS angstrom
Tl 2.384 -7.182 -0.306
Tl 3.702 0.040 6.361
Pb -0.977 -3.574 -0.527
Pb -0.166 -2.601 4.691
Cl 2.955 -6.659 -2.663
Cl 4.132 -2.485 1.089
Cl 0.088 -2.677 1.903
Cl 3.917 -6.397 1.480
Cl 2.168 -0.746 4.575
Cl 0.094 -6.283 0.033
Cl 5.992 -0.859 6.022
Cl 5.998 -4.465 4.152
Cl 1.954 -4.657 4.966
Cl 3.130 -0.483 8.718
```

## Properties
Crystal system   monoclinic
Volume   37.70 Å³ per atom

What are the formation energy (no corrections) values for these records? In order: -0.19; -0.87; -0.20; 0.36; -1.05; -0.83 eV/atom.